1.
# Cr2PPdSe

A relaxed Cr2PPdSe crystal (PBE, the Alexandria database).

abc: 4.6517 4.6517 4.8135
angles: 90.00 90.00 90.00
Sites, in units of the cell vectors:
Cr 0.0000 0.5000 0.0000
Cr 0.5000 0.0000 0.0000
P 0.0000 0.0000 0.5000
Pd 0.5000 0.5000 0.5000
Se 0.0000 0.0000 0.0000

Results
* density: 5.1 Mg/m³
* density of states at the Fermi level: 0.60 states/eV per atom
* formation energy without anion corrections: 917.4 meV/atom

---

2.
# ZnRh3F

A relaxed ZnRh3F crystal (PBE, the Alexandria database).

abc: 4.6442 4.6442 4.6442
angles: 90.00 90.00 90.00
Sites, in units of the cell vectors:
Zn 0.0000 0.0000 0.0000
Rh 0.0000 0.0000 0.5000
Rh 0.0000 0.5000 0.0000
Rh 0.5000 0.0000 0.0000
F 0.5000 0.5000 0.5000

Results
* density: 6.5 Mg/m³
* density of states at the Fermi level: 1.52 states/eV per atom
* formation energy without anion corrections: 1146.6 meV/atom

---

3.
# CaSmSc2S4

A relaxed CaSmSc2S4 crystal (PBE, the Alexandria database).

abc: 6.6712 3.8226 6.6858
angles: 90.00 109.05 90.00
Sites, in units of the cell vectors:
Ca 0.0000 0.0000 0.0000
Sm 0.5000 0.5000 0.0000
Sc 0.0000 0.5000 0.5000
Sc 0.5000 0.0000 0.5000
S 0.2395 0.0000 0.7281
S 0.2544 0.5000 0.2705
S 0.7456 0.5000 0.7295
S 0.7605 0.0000 0.2719

Results
* density: 4.2 Mg/m³
* density of states at the Fermi level: 0.41 states/eV per atom
* formation energy without anion corrections: -1946.8 meV/atom

---

4.
# BeInPd2

A relaxed BeInPd2 crystal (PBE, the Alexandria database).

abc: 4.4047 4.4047 4.4047
angles: 60.00 60.00 60.00
Sites, in units of the cell vectors:
Be 0.0000 0.0000 0.0000
In 0.5000 0.5000 0.5000
Pd 0.2500 0.2500 0.2500
Pd 0.7500 0.7500 0.7500

Results
* density: 9.3 Mg/m³
* density of states at the Fermi level: 0.40 states/eV per atom
* electronic total energy: -18.3 eV for the cell shown

---

5.
# Li4Sb4Pb3

A relaxed Li4Sb4Pb3 crystal (PBE, the Alexandria database).

abc: 9.0167 9.0167 9.0167
angles: 150.10 130.20 59.18
Sites, in units of the cell vectors:
Li 0.0244 0.8221 0.2024
Li 0.3803 0.1779 0.2024
Li 0.6197 0.8221 0.7976
Li 0.9756 0.1779 0.7976
Sb 0.2114 0.7114 0.5000
Sb 0.3054 0.0000 0.3054
Sb 0.6946 0.0000 0.6946
Sb 0.7886 0.2886 0.5000
Pb 0.0000 0.5000 0.5000
Pb 0.3657 0.3657 0.0000
Pb 0.6343 0.6343 0.0000

Results
* density: 6.8 Mg/m³
* density of states at the Fermi level: 0.17 states/eV per atom
* formation energy without anion corrections: -294.9 meV/atom

---

6.
# ScTlCd

A relaxed ScTlCd crystal (PBE, the Alexandria database).

abc: 4.7950 4.7950 4.7950
angles: 60.00 60.00 60.00
Sites, in units of the cell vectors:
Sc 0.0000 0.0000 0.0000
Tl 0.2500 0.2500 0.2500
Cd 0.5000 0.5000 0.5000

Results
* density: 7.7 Mg/m³
* density of states at the Fermi level: 0.00 states/eV per atom
* electronic total energy: -9.8 eV for the cell shown

---

7.
# TmCdInPb

A relaxed TmCdInPb crystal (PBE, the Alexandria database).

abc: 5.3276 5.3276 5.3276
angles: 60.00 60.00 60.00
Sites, in units of the cell vectors:
Tm 0.0000 0.0000 0.0000
Cd 0.5000 0.5000 0.5000
In 0.2500 0.2500 0.2500
Pb 0.7500 0.7500 0.7500

Results
* density: 9.4 Mg/m³
* density of states at the Fermi level: 0.65 states/eV per atom
* electronic total energy: -12.2 eV for the cell shown

---

8.
# Tb2CeTm

A relaxed Tb2CeTm crystal (PBE, the Alexandria database).

abc: 4.9787 4.9787 4.9968
angles: 90.00 90.00 90.00
Sites, in units of the cell vectors:
Tb 0.0000 0.5000 0.0000
Tb 0.5000 0.0000 0.0000
Ce 0.0000 0.0000 0.5000
Tm 0.5000 0.5000 0.5000

Results
* density: 8.4 Mg/m³
* density of states at the Fermi level: 1.76 states/eV per atom
* electronic total energy: -19.4 eV for the cell shown

---

9.
# KSr2TlBr

A relaxed KSr2TlBr crystal (PBE, the Alexandria database).

abc: 6.4936 6.4936 6.5099
angles: 90.00 90.00 90.00
Sites, in units of the cell vectors:
K 0.0000 0.0000 0.0000
Sr 0.0000 0.5000 0.5000
Sr 0.5000 0.0000 0.5000
Tl 0.5000 0.5000 0.5000
Br 0.5000 0.5000 0.0000

Results
* density: 3.0 Mg/m³
* density of states at the Fermi level: 1.15 states/eV per atom
* formation energy without anion corrections: -226.5 meV/atom

---

10.
# AsAu3

A relaxed AsAu3 crystal (PBE, the Alexandria database).

abc: 5.2773 5.2773 5.1629
angles: 104.55 104.55 32.17
Sites, in units of the cell vectors:
As 0.0000 0.0000 0.0000
Au 0.2540 0.2540 0.7531
Au 0.5000 0.5000 0.5000
Au 0.7460 0.7460 0.2469

Results
* density: 15.0 Mg/m³
* density of states at the Fermi level: 0.24 states/eV per atom
* electronic total energy: -13.9 eV for the cell shown

---

11.
# Sc2Tl2Ni

A relaxed Sc2Tl2Ni crystal (PBE, the Alexandria database).

abc: 7.0690 7.0690 4.3625
angles: 90.00 90.00 90.00
Sites, in units of the cell vectors:
Sc 0.1632 0.3368 0.0000
Sc 0.3368 0.8368 0.0000
Sc 0.6632 0.1632 0.0000
Sc 0.8368 0.6632 0.0000
Tl 0.1484 0.6484 0.5000
Tl 0.3516 0.1484 0.5000
Tl 0.6484 0.8516 0.5000
Tl 0.8516 0.3516 0.5000
Ni 0.0000 0.0000 0.5000
Ni 0.5000 0.5000 0.5000

Results
* density: 8.5 Mg/m³
* density of states at the Fermi level: 0.96 states/eV per atom
* electronic total energy: -47.1 eV for the cell shown

---

12.
# LiThSbSe

A relaxed LiThSbSe crystal (PBE, the Alexandria database).

abc: 4.5378 4.5378 9.7297
angles: 90.00 90.00 90.00
Sites, in units of the cell vectors:
Li 0.2500 0.7500 0.0000
Li 0.7500 0.2500 0.0000
Th 0.2500 0.2500 0.3082
Th 0.7500 0.7500 0.6918
Sb 0.2500 0.2500 0.8248
Sb 0.7500 0.7500 0.1752
Se 0.2500 0.7500 0.5000
Se 0.7500 0.2500 0.5000

Results
* density: 7.3 Mg/m³
* density of states at the Fermi level: 0.05 states/eV per atom
* formation energy without anion corrections: -1057.8 meV/atom